! PaNi3B4O12 PBE+U optimized geometry; values from VASP
! DFT total energy = -7.235 eV/atom
&SYSTEM
  ibrav = 0, nat = 20, ntyp = 4
/
ATOMIC_SPECIES
Pa 231.04 Pa.upf
Ni 58.69 Ni.upf
B 10.81 B.upf
O 16.00 O.upf
CELL_PARAMETERS angstrom
6.101 0.034 0.048
-1.437 5.930 0.048
-1.437 -1.837 5.639
ATOMIC_POSITIONS angstrom
Pa 0.000 0.000 0.000
Ni 2.740 2.664 0.048
Ni 1.925 -1.002 3.145
Ni -1.437 2.466 2.541
B 5.018 -0.598 2.867
B -1.790 1.219 5.392
B 1.614 5.571 0.343
B 1.614 2.064 2.867
O 1.614 0.956 3.664
O 4.687 2.827 0.588
O -1.459 4.467 2.867
O 1.614 -1.102 5.146
O 0.492 5.376 1.156
O -0.711 0.330 5.464
O 5.099 0.533 2.048
O 2.736 4.738 0.270
O -1.871 2.355 4.579
O 3.939 -0.949 3.687
O 2.689 2.331 2.070
O 0.539 2.904 2.867